w.
A plane-wave DFT calculation with PBE was carried out for a relaxed structure of FeGeAu2.

Output
Magnetic moment (μB per formula unit): 3.1

abc: 10.4221 10.4221 10.4221
angles: 15.60 15.60 15.60
Last column: nearest neighbours and their distance in Å.
Positions (direct):
1 Fe 0.0000 0.0000 0.0000  2 Au 2.57, 6 Fe 2.83
2 Ge 0.5000 0.5000 0.5000  6 Ge 2.83, 6 Au 3.05
3 Au 0.0832 0.0832 0.0832  1 Fe 2.57, 6 Au 2.83
4 Au 0.9168 0.9168 0.9168  1 Fe 2.57, 6 Au 2.83


x.
A plane-wave DFT calculation with PBE was carried out for a relaxed structure of FeGeAu2.

Output
Magnetic moment (μB per formula unit): 3.1

abc: 4.5748 4.5748 4.5748
angles: 60.00 60.00 60.00
Last column: nearest neighbours and their distance in Å.
Positions (direct):
1 Fe 0.0000 0.0000 0.0000  8 Au 2.80
2 Ge 0.5000 0.5000 0.5000  8 Au 2.80
3 Au 0.2500 0.2500 0.2500  4 Ge 2.80, 4 Fe 2.80
4 Au 0.7500 0.7500 0.7500  4 Ge 2.80, 4 Fe 2.80


Energies in meV per atom, measured from the most stable structure: w 136; x 0.


w.
A plane-wave DFT calculation with PBE was carried out for a relaxed structure of FeGe2RhAu.

Output
Magnetic moment (μB per formula unit): 3.5

abc: 4.6000 4.6000 5.2455
angles: 90.00 90.00 90.00
Last column: nearest neighbours and their distance in Å.
Positions (direct):
1 Fe 0.0000 0.0000 0.0000  4 Au 3.25, 8 Ge 3.49
2 Ge 0.0000 0.5000 0.5000  2 Rh 2.30
3 Ge 0.5000 0.0000 0.5000  2 Rh 2.30
4 Rh 0.5000 0.5000 0.5000  4 Ge 2.30
5 Au 0.5000 0.5000 0.0000  2 Rh 2.62


x.
A plane-wave DFT calculation with PBE was carried out for a relaxed structure of FeGe2RhAu.

Output
Magnetic moment (μB per formula unit): 3.7

abc: 4.6530 4.6530 4.8597
angles: 90.00 90.00 90.00
Last column: nearest neighbours and their distance in Å.
Positions (direct):
1 Fe 0.0000 0.0000 0.0000  2 Rh 2.43
2 Ge 0.0000 0.5000 0.5000  2 Rh 2.33
3 Ge 0.5000 0.0000 0.5000  2 Rh 2.33
4 Rh 0.0000 0.0000 0.5000  4 Ge 2.33, 2 Fe 2.43
5 Au 0.5000 0.5000 0.0000  4 Fe 3.29, 8 Ge 3.36


Energies in meV per atom, measured from the most stable structure: w 203; x 0.


w.
A plane-wave DFT calculation with PBE was carried out for a relaxed structure of FeHAu.

Output
Magnetic moment (μB per formula unit): 2.4

abc: 2.8729 2.8729 4.6146
angles: 90.00 90.00 120.00
Last column: nearest neighbours and their distance in Å.
Positions (direct):
1 Fe 0.0000 0.0000 0.0000  3 H 1.67
2 H 0.6667 0.3333 0.0360  3 Fe 1.67
3 Au 0.3333 0.6667 0.5078  6 H 2.74-2.95, 6 Fe 2.81-2.87, 6 Au 2.87


x.
A plane-wave DFT calculation with PBE was carried out for a relaxed structure of FeHAu.

Output
Magnetic moment (μB per formula unit): 2.6

abc: 5.6387 5.5442 6.2982
angles: 56.44 55.01 68.55
Last column: nearest neighbours and their distance in Å.
Positions (direct):
1 Fe 0.0163 0.9837 0.7954  3 H 1.72
2 Fe 0.0454 0.4546 0.2663  3 H 1.72
3 Fe 0.4546 0.0454 0.2337  3 H 1.72
4 Fe 0.9837 0.0163 0.2046  3 H 1.72
5 H 0.1587 0.8015 0.0293  3 Fe 1.72
6 H 0.2207 0.2394 0.0913  3 Fe 1.72
7 H 0.2394 0.2207 0.4485  3 Fe 1.72
8 H 0.8015 0.1587 0.0106  3 Fe 1.72
9 Au 0.1093 0.5734 0.6245  2 H 2.45-2.47, 1 Fe 2.69
10 Au 0.5572 0.6255 0.6766  2 H 2.45-2.47, 1 Fe 2.69
11 Au 0.5734 0.1093 0.6928  2 H 2.45-2.47, 1 Fe 2.69
12 Au 0.6255 0.5572 0.1407  2 H 2.45-2.47, 1 Fe 2.69


Energies in meV per atom, measured from the most stable structure: w 0; x 11.


w.
A plane-wave DFT calculation with PBE was carried out for a relaxed structure of FeHAu2.

Output
Magnetic moment (μB per formula unit): 3.1

abc: 5.2324 5.2324 5.2324
angles: 105.23 105.23 118.34
Last column: nearest neighbours and their distance in Å.
Positions (direct):
1 Fe 0.0000 0.0000 0.0000  2 H 2.68, 8 Au 2.75-2.76
2 Fe 0.7500 0.2500 0.5000  2 H 2.68, 8 Au 2.75-2.76
3 H 0.2500 0.7500 0.5000  4 Au 2.01
4 H 0.5000 0.5000 0.0000  4 Au 2.01
5 Au 0.2119 0.6250 0.0869  2 H 2.01
6 Au 0.3750 0.4619 0.5869  2 H 2.01
7 Au 0.5381 0.1250 0.9131  2 H 2.01
8 Au 0.8750 0.7881 0.4131  2 H 2.01


x.
A plane-wave DFT calculation with PBE was carried out for a relaxed structure of FeHAu2.

Output
Magnetic moment (μB per formula unit): 3.2

abc: 4.3222 4.3222 4.3222
angles: 60.00 60.00 60.00
Last column: nearest neighbours and their distance in Å.
Positions (direct):
1 Fe 0.0000 0.0000 0.0000  8 Au 2.65
2 H 0.5000 0.5000 0.5000  8 Au 2.65
3 Au 0.2500 0.2500 0.2500  4 H 2.65, 4 Fe 2.65
4 Au 0.7500 0.7500 0.7500  4 H 2.65, 4 Fe 2.65


Energies in meV per atom, measured from the most stable structure: w 0; x 276.


w.
A plane-wave DFT calculation with PBE was carried out for a relaxed structure of FeH3Au.

Output
Magnetic moment (μB per formula unit): 3.0

abc: 3.6099 3.6099 3.6099
angles: 90.00 90.00 90.00
Last column: nearest neighbours and their distance in Å.
Positions (direct):
1 Fe 0.0000 0.0000 0.0000  12 H 2.55
2 H 0.0000 0.5000 0.5000  2 Au 1.80
3 H 0.5000 0.0000 0.5000  2 Au 1.80
4 H 0.5000 0.5000 0.0000  2 Au 1.80
5 Au 0.5000 0.5000 0.5000  6 H 1.80


x.
A plane-wave DFT calculation with PBE was carried out for a relaxed structure of FeH3Au.

Output
Magnetic moment (μB per formula unit): 1.5

abc: 3.3815 3.3815 3.3815
angles: 90.00 90.00 90.00
Last column: nearest neighbours and their distance in Å.
Positions (direct):
1 Fe 0.0000 0.0000 0.0000  6 H 1.69
2 H 0.0000 0.0000 0.5000  2 Fe 1.69
3 H 0.0000 0.5000 0.0000  2 Fe 1.69
4 H 0.5000 0.0000 0.0000  2 Fe 1.69
5 Au 0.5000 0.5000 0.5000  12 H 2.39


Energies in meV per atom, measured from the most stable structure: w 272; x 0.


w.
A plane-wave DFT calculation with PBE was carried out for a relaxed structure of Fe3HAu.

Output
Magnetic moment (μB per formula unit): 10.7

abc: 4.8443 4.8443 4.8443
angles: 90.00 90.00 90.00
Last column: nearest neighbours and their distance in Å.
Positions (direct):
1 Fe 0.0000 0.0000 0.5000  2 Au 2.42
2 Fe 0.0000 0.5000 0.0000  2 Au 2.42
3 Fe 0.5000 0.0000 0.0000  2 Au 2.42
4 H 0.5000 0.5000 0.5000  12 Fe 3.43
5 Au 0.0000 0.0000 0.0000  6 Fe 2.42


x.
A plane-wave DFT calculation with PBE was carried out for a relaxed structure of Fe3HAu.

Output
Magnetic moment (μB per formula unit): 7.7

abc: 3.8006 3.8006 3.8006
angles: 90.00 90.00 90.00
Last column: nearest neighbours and their distance in Å.
Positions (direct):
1 Fe 0.0000 0.0000 0.5000  2 H 1.90
2 Fe 0.0000 0.5000 0.0000  2 H 1.90
3 Fe 0.5000 0.0000 0.0000  2 H 1.90
4 H 0.0000 0.0000 0.0000  6 Fe 1.90
5 Au 0.5000 0.5000 0.5000  12 Fe 2.69


Energies in meV per atom, measured from the most stable structure: w 1733; x 0.


w.
A plane-wave DFT calculation with PBE was carried out for a relaxed structure of FeHPd2Au.

Output
Magnetic moment (μB per formula unit): 3.5

abc: 4.0007 4.0007 3.9891
angles: 90.00 90.00 90.00
Last column: nearest neighbours and their distance in Å.
Positions (direct):
1 Fe 0.0000 0.0000 0.0000  2 H 1.99
2 H 0.0000 0.0000 0.5000  2 Fe 1.99, 4 Pd 2.00
3 Pd 0.0000 0.5000 0.5000  2 H 2.00
4 Pd 0.5000 0.0000 0.5000  2 H 2.00
5 Au 0.5000 0.5000 0.0000  8 Pd 2.82, 4 Fe 2.83


x.
A plane-wave DFT calculation with PBE was carried out for a relaxed structure of FeHPd2Au.

Output
Magnetic moment (μB per formula unit): 3.9

abc: 4.0000 4.0000 4.0650
angles: 90.00 90.00 90.00
Last column: nearest neighbours and their distance in Å.
Positions (direct):
1 Fe 0.0000 0.0000 0.0000  4 Au 2.83, 8 Pd 2.85
2 H 0.5000 0.5000 0.5000  4 Pd 2.00, 2 Au 2.03
3 Pd 0.0000 0.5000 0.5000  2 H 2.00
4 Pd 0.5000 0.0000 0.5000  2 H 2.00
5 Au 0.5000 0.5000 0.0000  2 H 2.03


Energies in meV per atom, measured from the most stable structure: w 0; x 85.


w.
A plane-wave DFT calculation with PBE was carried out for a relaxed structure of Hf2FeAu2.

Output
Magnetic moment (μB per formula unit): 2.1

abc: 7.1820 7.1820 3.7268
angles: 90.00 90.00 90.00
Last column: nearest neighbours and their distance in Å.
Positions (direct):
1 Hf 0.1714 0.3286 0.0000  6 Au 2.71-2.90
2 Hf 0.3286 0.8286 0.0000  6 Au 2.71-2.90
3 Hf 0.6714 0.1714 0.0000  6 Au 2.71-2.90
4 Hf 0.8286 0.6714 0.0000  6 Au 2.71-2.90
5 Fe 0.0000 0.0000 0.5000  4 Au 2.79
6 Fe 0.5000 0.5000 0.5000  4 Au 2.79
7 Au 0.1354 0.6354 0.5000  6 Hf 2.71-2.90, 1 Au 2.75, 2 Fe 2.79
8 Au 0.3646 0.1354 0.5000  6 Hf 2.71-2.90, 1 Au 2.75, 2 Fe 2.79
9 Au 0.6354 0.8646 0.5000  6 Hf 2.71-2.90, 1 Au 2.75, 2 Fe 2.79
10 Au 0.8646 0.3646 0.5000  6 Hf 2.71-2.90, 1 Au 2.75, 2 Fe 2.79


x.
A plane-wave DFT calculation with PBE was carried out for a relaxed structure of Hf2FeAu2.

Output
Magnetic moment (μB per formula unit): 1.2

abc: 7.9520 7.9520 7.9520
angles: 153.24 153.24 38.21
Last column: nearest neighbours and their distance in Å.
Positions (direct):
1 Hf 0.0954 0.0954 0.0000  1 Hf 2.87, 4 Au 2.96, 4 Fe 2.97
2 Hf 0.9046 0.9046 0.0000  1 Hf 2.87, 4 Au 2.96, 4 Fe 2.97
3 Fe 0.5000 0.5000 0.0000  8 Hf 2.97
4 Au 0.2500 0.7500 0.5000  4 Au 2.60
5 Au 0.7500 0.2500 0.5000  4 Au 2.60


Energies in meV per atom, measured from the most stable structure: w 0; x 373.